No. 1
VASP calculation (meta-GGA SCAN) on a crystal of LaMo2PtSe relaxed with PBEsol.

```
LaMo2PtSe
1.0
4.541 0.000 0.000
0.000 4.541 0.000
0.000 0.000 5.459
La Se Mo Pt
1 1 2 1
direct
0.000 0.000 0.500
0.000 0.000 0.000
0.000 0.500 0.000
0.500 0.000 0.000
0.500 0.500 0.500
```

## Properties
Formation energy without anion corrections (eV per atom): 0.686
Total energy (eV/atom): -39.943
Total magnetization (μB per cell): 0.0

***

No. 2
VASP calculation (meta-GGA SCAN) on a crystal of Ba2TePt relaxed with PBEsol.

```
Ba2TePt
1.0
7.400 0.111 -0.180
-2.705 6.889 0.180
2.705 3.261 6.071
Ba Pt Te
4 2 2
direct
0.535 0.625 0.340
0.965 0.340 0.125
0.035 0.910 0.625
0.465 0.125 0.910
0.000 0.000 0.000
0.500 0.250 0.250
0.000 0.500 0.500
0.500 0.750 0.750
```

## Properties
Formation energy without anion corrections (eV per atom): -1.119
Total energy (eV/atom): -47.756
Total magnetization (μB per cell): 0.0

***

No. 3
VASP calculation (meta-GGA SCAN) on a crystal of K3Mg18Sn11 relaxed with PBEsol.

```
K3Mg18Sn11
1.0
-4.793 -5.410 -9.326
10.686 -3.212 3.835
-5.753 -9.221 8.306
Sn Mg K
22 36 6
direct
0.415 0.116 0.250
0.295 0.410 0.084
0.590 0.885 0.416
0.115 0.705 0.084
0.000 0.000 0.636
0.701 0.585 0.250
0.000 0.000 0.864
0.590 0.885 0.084
0.299 0.415 0.750
0.295 0.410 0.416
0.000 0.000 0.364
0.705 0.590 0.584
0.410 0.115 0.916
0.705 0.590 0.916
0.410 0.115 0.584
0.885 0.295 0.584
0.116 0.701 0.750
0.884 0.299 0.250
0.115 0.705 0.416
0.585 0.884 0.750
0.885 0.295 0.916
0.000 0.000 0.136
0.568 0.626 0.750
0.122 0.270 0.583
0.730 0.852 0.917
0.944 0.567 0.916
0.878 0.730 0.083
0.148 0.878 0.917
0.623 0.056 0.916
0.056 0.433 0.084
0.626 0.058 0.250
0.730 0.852 0.583
0.377 0.944 0.084
0.433 0.377 0.916
0.891 0.747 0.750
0.856 0.109 0.750
0.270 0.148 0.417
0.623 0.056 0.584
0.058 0.432 0.750
0.567 0.623 0.084
0.148 0.878 0.583
0.109 0.253 0.250
0.056 0.433 0.416
0.122 0.270 0.917
0.433 0.377 0.584
0.253 0.144 0.750
0.567 0.623 0.416
0.374 0.942 0.750
0.942 0.568 0.250
0.144 0.891 0.250
0.747 0.856 0.250
0.270 0.148 0.083
0.852 0.122 0.417
0.432 0.374 0.250
0.377 0.944 0.416
0.944 0.567 0.584
0.852 0.122 0.083
0.878 0.730 0.417
0.667 0.333 0.750
0.333 0.667 0.582
0.333 0.667 0.918
0.333 0.667 0.250
0.667 0.333 0.082
0.667 0.333 0.418
```

## Properties
Total energy (eV/atom): -16.197
Formation energy (eV per formula unit): -8.659
Total magnetization (μB per cell): 0.0

***

No. 4
VASP calculation (meta-GGA SCAN) on a crystal of K2NaLaCl6 relaxed with PBEsol.

```
K2NaLaCl6
1.0
-5.073 -1.648 -5.466
-2.183 -7.231 -1.130
-7.068 -2.194 1.886
La Cl Na K
1 6 1 2
direct
0.000 0.000 0.000
0.252 0.748 0.748
0.748 0.252 0.252
0.748 0.748 0.252
0.748 0.252 0.748
0.252 0.748 0.252
0.252 0.252 0.748
0.500 0.500 0.500
0.750 0.750 0.750
0.250 0.250 0.250
```

## Properties
Formation energy without anion corrections (eV per atom): -2.290
Total energy (eV/atom): -13.474
Total magnetization (μB per cell): 0.0

***

No. 5
VASP calculation (meta-GGA SCAN) on a crystal of Ni8W relaxed with PBEsol.

```
Ni8W
1.0
-2.619 -0.989 2.146
-1.880 -4.942 -1.673
2.167 -2.880 4.215
Ni W
8 1
direct
0.333 0.335 0.000
0.666 0.334 0.334
0.000 0.334 0.666
0.667 0.000 0.665
0.334 0.666 0.666
0.333 0.000 0.335
0.000 0.666 0.334
0.667 0.665 0.000
0.000 0.000 0.000
```

## Properties
Total energy (eV/atom): -22.119
Formation energy (eV per formula unit): 0.006
Total magnetization (μB per cell): 0.0

***

No. 6
VASP calculation (meta-GGA SCAN) on a crystal of Ba2ZrRh relaxed with PBEsol.

```
Ba2ZrRh
1.0
3.564 0.000 0.000
0.000 4.953 0.000
0.000 0.000 6.239
Zr Rh Ba
1 1 2
direct
0.500 0.500 0.500
0.500 0.500 0.000
0.000 0.000 0.758
0.000 0.000 0.242
```

## Properties
ΔE to the lowest computed polymorph (meV/atom): 217
Total energy (eV/atom): -35.238
Formation energy (eV per formula unit): 2.621
Total magnetization (μB per cell): 0.0